<A>
# TcSeI2 | Alexandria | GGA-PBE | optimized geometry
data_TcSeI2
_chemical_formula_sum 'Tc4 Se4 I8'
_space_group_name_H-M_alt 'I -4 2 d'
_space_group_IT_number 122
_space_group_name_Hall 'I -4 2bw'
_cell_length_a 7.299
_cell_length_b 7.299
_cell_length_c 9.313
_cell_angle_alpha 90.00
_cell_angle_beta 90.00
_cell_angle_gamma 90.00
loop_
_atom_site_label
_atom_site_fract_x
_atom_site_fract_y
_atom_site_fract_z
_atom_site_occupancy
Tc1 0.000 0.000 0.000 1
Se1 0.000 0.000 0.500 1
I1 0.192 0.750 0.125 1
# DOS at the Fermi energy = 1.67 states/eV/atom


<B>
# TcSeI2 | Alexandria | GGA-PBE | optimized geometry
data_TcSeI2
_chemical_formula_sum 'Tc4 Se4 I8'
_space_group_name_H-M_alt 'F m -3 m'
_space_group_IT_number 225
_space_group_name_Hall '-F 4 2 3'
_cell_length_a 7.400
_cell_length_b 7.400
_cell_length_c 7.400
_cell_angle_alpha 90.00
_cell_angle_beta 90.00
_cell_angle_gamma 90.00
loop_
_atom_site_label
_atom_site_fract_x
_atom_site_fract_y
_atom_site_fract_z
_atom_site_occupancy
Tc1 0.000 0.000 0.000 1
Se1 0.000 0.000 0.500 1
I1 0.250 0.250 0.250 1
# DOS at the Fermi energy = 0.52 states/eV/atom


In terms of stability, <A> leads; the second structure lies 271 meV per atom higher.


<A>
# TcTe2SeI | Alexandria | GGA-PBE | optimized geometry
data_TcTe2SeI
_chemical_formula_sum 'Tc1 Te2 Se1 I1'
_space_group_name_H-M_alt 'P 4/m m m'
_space_group_IT_number 123
_space_group_name_Hall '-P 4 2'
_cell_length_a 5.159
_cell_length_b 5.159
_cell_length_c 5.470
_cell_angle_alpha 90.00
_cell_angle_beta 90.00
_cell_angle_gamma 90.00
loop_
_atom_site_label
_atom_site_fract_x
_atom_site_fract_y
_atom_site_fract_z
_atom_site_occupancy
Tc1 0.000 0.000 0.000 1
Te1 0.000 0.500 0.000 1
Se1 0.500 0.500 0.500 1
I1 0.000 0.000 0.500 1
# DOS at the Fermi energy = 1.28 states/eV/atom


<B>
# TcTe2SeI | Alexandria | GGA-PBE | optimized geometry
data_TcTe2SeI
_chemical_formula_sum 'Tc1 Te2 Se1 I1'
_space_group_name_H-M_alt 'P 4/m m m'
_space_group_IT_number 123
_space_group_name_Hall '-P 4 2'
_cell_length_a 5.489
_cell_length_b 5.489
_cell_length_c 5.609
_cell_angle_alpha 90.00
_cell_angle_beta 90.00
_cell_angle_gamma 90.00
loop_
_atom_site_label
_atom_site_fract_x
_atom_site_fract_y
_atom_site_fract_z
_atom_site_occupancy
Tc1 0.000 0.000 0.000 1
Te1 0.000 0.500 0.500 1
Se1 0.500 0.500 0.500 1
I1 0.500 0.500 0.000 1
# DOS at the Fermi energy = 0.70 states/eV/atom


In terms of stability, <A> leads; the second structure lies 563 meV per atom higher.


<A>
A relaxed structure of TeSeI2, computed with GGA-PBE.

```
data_TeSeI2
_chemical_formula_sum 'Te1 Se1 I2'
_space_group_name_H-M_alt 'P 1'
_space_group_IT_number 1
_space_group_name_Hall 'P 1'
_cell_length_a 4.075
_cell_length_b 6.874
_cell_length_c 7.418
_cell_angle_alpha 96.55
_cell_angle_beta 105.94
_cell_angle_gamma 107.14
loop_
_atom_site_label
_atom_site_fract_x
_atom_site_fract_y
_atom_site_fract_z
_atom_site_occupancy
Te1 0.000 0.000 0.000 1
Se1 0.634 0.017 0.250 1
I1 0.361 0.069 0.653 1
I2 0.706 0.570 0.841 1
```


<B>
# TeSeI2 | Alexandria | GGA-PBE | optimized geometry
data_TeSeI2
_chemical_formula_sum 'Te4 Se4 I8'
_space_group_name_H-M_alt 'I -4 2 d'
_space_group_IT_number 122
_space_group_name_Hall 'I -4 2bw'
_cell_length_a 8.328
_cell_length_b 8.328
_cell_length_c 8.186
_cell_angle_alpha 90.00
_cell_angle_beta 90.00
_cell_angle_gamma 90.00
loop_
_atom_site_label
_atom_site_fract_x
_atom_site_fract_y
_atom_site_fract_z
_atom_site_occupancy
Te1 0.000 0.000 0.000 1
Se1 0.000 0.000 0.500 1
I1 0.238 0.250 0.625 1
# DOS at the Fermi energy = 0.79 states/eV/atom


In terms of stability, <A> leads; the second structure lies 513 meV per atom higher.


<A>
# TeSeI2 | Alexandria | GGA-PBE | optimized geometry
data_TeSeI2
_chemical_formula_sum 'Te4 Se4 I8'
_space_group_name_H-M_alt 'F m -3 m'
_space_group_IT_number 225
_space_group_name_Hall '-F 4 2 3'
_cell_length_a 7.744
_cell_length_b 7.744
_cell_length_c 7.744
_cell_angle_alpha 90.00
_cell_angle_beta 90.00
_cell_angle_gamma 90.00
loop_
_atom_site_label
_atom_site_fract_x
_atom_site_fract_y
_atom_site_fract_z
_atom_site_occupancy
Te1 0.000 0.000 0.000 1
Se1 0.000 0.000 0.500 1
I1 0.250 0.250 0.250 1
# DOS at the Fermi energy = 1.60 states/eV/atom


<B>
A relaxed structure of TeSeI2, computed with GGA-PBE.

```
data_TeSeI2
_chemical_formula_sum 'Te1 Se1 I2'
_space_group_name_H-M_alt 'P 1'
_space_group_IT_number 1
_space_group_name_Hall 'P 1'
_cell_length_a 4.305
_cell_length_b 7.032
_cell_length_c 8.227
_cell_angle_alpha 87.41
_cell_angle_beta 74.90
_cell_angle_gamma 73.54
loop_
_atom_site_label
_atom_site_fract_x
_atom_site_fract_y
_atom_site_fract_z
_atom_site_occupancy
Te1 0.000 0.000 0.000 1
Se1 0.838 0.350 0.995 1
I1 0.403 0.910 0.273 1
I2 0.688 0.881 0.729 1
```


In terms of stability, <B> leads; the second structure lies 560 meV per atom higher.


<A>
# Te2Se2I | Alexandria | GGA-PBE | optimized geometry
data_Te2Se2I
_chemical_formula_sum 'Te4 Se4 I2'
_space_group_name_H-M_alt 'P 4/m b m'
_space_group_IT_number 127
_space_group_name_Hall '-P 4 2ab'
_cell_length_a 8.606
_cell_length_b 8.606
_cell_length_c 3.857
_cell_angle_alpha 90.00
_cell_angle_beta 90.00
_cell_angle_gamma 90.00
loop_
_atom_site_label
_atom_site_fract_x
_atom_site_fract_y
_atom_site_fract_z
_atom_site_occupancy
Te1 0.188 0.312 0.000 1
Se1 0.141 0.641 0.500 1
I1 0.000 0.000 0.000 1
# DOS at the Fermi energy = 0.72 states/eV/atom


<B>
# Te2Se2I | Alexandria | GGA-PBE | optimized geometry
data_Te2Se2I
_chemical_formula_sum 'Te4 Se4 I2'
_space_group_name_H-M_alt 'P 4/m b m'
_space_group_IT_number 127
_space_group_name_Hall '-P 4 2ab'
_cell_length_a 8.497
_cell_length_b 8.497
_cell_length_c 3.909
_cell_angle_alpha 90.00
_cell_angle_beta 90.00
_cell_angle_gamma 90.00
loop_
_atom_site_label
_atom_site_fract_x
_atom_site_fract_y
_atom_site_fract_z
_atom_site_occupancy
Te1 0.132 0.368 0.000 1
Se1 0.191 0.691 0.500 1
I1 0.000 0.000 0.500 1
# DOS at the Fermi energy = 0.94 states/eV/atom


In terms of stability, <A> leads; the second structure lies 109 meV per atom higher.


<A>
# Te2Se2I | Alexandria | GGA-PBE | optimized geometry
data_Te2Se2I
_chemical_formula_sum 'Te4 Se4 I2'
_space_group_name_H-M_alt 'I 4/m m m'
_space_group_IT_number 139
_space_group_name_Hall '-I 4 2'
_cell_length_a 5.362
_cell_length_b 5.362
_cell_length_c 11.829
_cell_angle_alpha 90.00
_cell_angle_beta 90.00
_cell_angle_gamma 90.00
loop_
_atom_site_label
_atom_site_fract_x
_atom_site_fract_y
_atom_site_fract_z
_atom_site_occupancy
Te1 0.000 0.500 0.250 1
Se1 0.000 0.000 0.172 1
I1 0.000 0.000 0.500 1
# DOS at the Fermi energy = 0.95 states/eV/atom


<B>
A relaxed structure of Te2Se2I, computed with GGA-PBE.

```
data_Te2Se2I
_chemical_formula_sum 'Te4 Se4 I2'
_space_group_name_H-M_alt 'P -1'
_space_group_IT_number 2
_space_group_name_Hall '-P 1'
_cell_length_a 7.049
_cell_length_b 8.421
_cell_length_c 8.844
_cell_angle_alpha 68.26
_cell_angle_beta 71.01
_cell_angle_gamma 84.47
loop_
_atom_site_label
_atom_site_fract_x
_atom_site_fract_y
_atom_site_fract_z
_atom_site_occupancy
Te1 0.063 0.231 0.057 1
Te2 0.274 0.433 0.576 1
Se1 0.014 0.185 0.793 1
Se2 0.291 0.490 0.856 1
I1 0.243 0.241 0.347 1
```


In terms of stability, <B> leads; the second structure lies 160 meV per atom higher.


<A>
# VTe2SeI | Alexandria | GGA-PBE | optimized geometry
data_VTe2SeI
_chemical_formula_sum 'V1 Te2 Se1 I1'
_space_group_name_H-M_alt 'P 4/m m m'
_space_group_IT_number 123
_space_group_name_Hall '-P 4 2'
_cell_length_a 5.209
_cell_length_b 5.209
_cell_length_c 5.188
_cell_angle_alpha 90.00
_cell_angle_beta 90.00
_cell_angle_gamma 90.00
loop_
_atom_site_label
_atom_site_fract_x
_atom_site_fract_y
_atom_site_fract_z
_atom_site_occupancy
V1 0.000 0.000 0.000 1
Te1 0.000 0.500 0.000 1
Se1 0.500 0.500 0.500 1
I1 0.000 0.000 0.500 1
# DOS at the Fermi energy = 1.09 states/eV/atom


<B>
# VTe2SeI | Alexandria | GGA-PBE | optimized geometry
data_VTe2SeI
_chemical_formula_sum 'V1 Te2 Se1 I1'
_space_group_name_H-M_alt 'P 4/m m m'
_space_group_IT_number 123
_space_group_name_Hall '-P 4 2'
_cell_length_a 5.448
_cell_length_b 5.448
_cell_length_c 5.640
_cell_angle_alpha 90.00
_cell_angle_beta 90.00
_cell_angle_gamma 90.00
loop_
_atom_site_label
_atom_site_fract_x
_atom_site_fract_y
_atom_site_fract_z
_atom_site_occupancy
V1 0.000 0.000 0.000 1
Te1 0.000 0.500 0.500 1
Se1 0.500 0.500 0.500 1
I1 0.500 0.500 0.000 1
# DOS at the Fermi energy = 1.93 states/eV/atom


In terms of stability, <A> leads; the second structure lies 706 meV per atom higher.